Record 1
Here is a relaxed structure of DyNbGa3 from the Alexandria database. Energies are from PBE-GGA.

formation energy: -0.191 eV per atom

Cell and atoms, written as CIF:
```
data_DyNbGa3
_space_group_name_H-M_alt 'I 4 m m'
_space_group_IT_number 107
_space_group_name_Hall 'I 4 -2'
_cell_length_a 4.032
_cell_length_b 4.032
_cell_length_c 12.474
_cell_angle_alpha 90.00
_cell_angle_beta 90.00
_cell_angle_gamma 90.00
loop_
_atom_site_label
_atom_site_fract_x
_atom_site_fract_y
_atom_site_fract_z
Dy1 0.000 0.000 0.000
Nb1 0.000 0.000 0.645
Ga1 0.000 0.000 0.435
Ga2 0.000 0.500 0.286
```

=====

Record 2
Here is a relaxed structure of KBa2InS4 from the Alexandria database. Energies are from PBE-GGA.

E_form (uncorrected): -10.6 eV/f.u.

Cell and atoms, written as CIF:
```
data_KBa2InS4
_space_group_name_H-M_alt 'I m m a'
_space_group_IT_number 74
_space_group_name_Hall '-I 2b 2'
_cell_length_a 8.699
_cell_length_b 8.892
_cell_length_c 12.201
_cell_angle_alpha 90.00
_cell_angle_beta 90.00
_cell_angle_gamma 90.00
loop_
_atom_site_label
_atom_site_fract_x
_atom_site_fract_y
_atom_site_fract_z
K1 0.250 0.250 0.250
Ba1 0.000 0.000 0.000
Ba2 0.250 0.250 0.750
In1 0.000 0.000 0.500
S1 0.000 0.001 0.709
S2 0.239 0.250 0.499
```

=====

Number 1: calculated density 7.607 Mg/m³, V 20.28 Å³/atom, uncorrected energy -4.941 eV/atom. Number 2: calculated density 3.919 Mg/m³, V 29.49 Å³/atom, uncorrected energy -4.346 eV/atom.